## ZnMoRuRh (PBE)

Data for crystalline ZnMoRuRh at its relaxed geometry.

```
ZnMoRuRh
1.0
4.344 0.000 0.000
2.172 3.762 0.000
2.172 1.254 3.547
Ru Mo Rh Zn
1 1 1 1
Direct
0.000 0.000 0.000
0.250 0.250 0.250
0.500 0.500 0.500
0.750 0.750 0.750
```

final energy = -7.25 eV per atom
ΔH_f (0 K) = -0.066 eV/atom
theoretical density = 10.5 g cm⁻³